(1)
First-principles (PBEsol) data for crystalline TcIr2Os at its relaxed geometry, as listed in the Alexandria database.

```
4
Lattice="-2.065 -0.052 3.241 2.746 -2.070 1.716 1.355 4.249 -1.346" Properties=species:S:1:pos:R:3 pbc="T T T"
Ir 0.000 0.000 0.000
Tc -0.185 1.567 2.186
Ir 2.221 0.559 1.424
Os 0.340 -1.061 2.478
```

Computed properties:
total DFT energy (no corrections) = -43.43 eV per cell
energy of formation from the pure elements = -7.3 kJ/mol of atoms
symmetry = No. 119
E above lowest polymorph = 89 meV per atom



(2)
First-principles (PBEsol) data for crystalline TcIr2Os at its relaxed geometry, as listed in the Alexandria database.

```
4
Lattice="-0.878 -0.640 -2.459 3.576 -1.034 -1.008 -0.986 -5.026 1.660" Properties=species:S:1:pos:R:3 pbc="T T T"
Ir -0.247 -1.258 0.416
Os 1.349 -0.837 -1.733
Tc 0.856 -3.350 -0.903
Ir -0.739 -3.768 1.245
```

Computed properties:
total DFT energy (no corrections) = -43.46 eV per cell
energy of formation from the pure elements = -8.0 kJ/mol of atoms
symmetry = No. 47
E above lowest polymorph = 82 meV per atom



(3)
First-principles (PBEsol) data for crystalline TeIr2Os at its relaxed geometry, as listed in the Alexandria database.

```
4
Lattice="2.833 0.000 0.000 0.000 4.749 0.000 -1.417 -2.375 4.724" Properties=species:S:1:pos:R:3 pbc="T T T"
Ir 0.000 0.000 2.325
Te 0.000 2.375 0.000
Ir 1.417 2.375 2.399
Os 1.417 0.000 0.000
```

Computed properties:
total DFT energy (no corrections) = -32.57 eV per cell
formation energy from raw total energies = 0.705 eV/atom
symmetry = No. 71



(4)
First-principles (PBEsol) data for crystalline Te2IrOs at its relaxed geometry, as listed in the Alexandria database.

```
4
Lattice="3.163 0.000 0.000 0.000 3.163 0.000 0.000 0.000 8.109" Properties=species:S:1:pos:R:3 pbc="T T T"
Ir 0.000 0.000 4.088
Te 0.000 0.000 7.508
Os 1.581 1.581 6.028
Te 1.581 1.581 2.647
```

Computed properties:
total DFT energy (no corrections) = -27.23 eV per cell
formation energy from raw total energies = 0.466 eV/atom
symmetry = No. 99
E above lowest polymorph = 0 meV per atom



(5)
First-principles (PBEsol) data for crystalline TeIr2Os at its relaxed geometry, as listed in the Alexandria database.

```
4
Lattice="3.988 0.000 0.000 0.000 3.988 0.000 -1.994 -1.994 3.939" Properties=species:S:1:pos:R:3 pbc="T T T"
Ir 0.000 1.994 1.970
Os 1.994 1.994 0.000
Ir 1.994 0.000 1.970
Te 0.000 0.000 0.000
```

Computed properties:
total DFT energy (no corrections) = -32.85 eV per cell
formation energy from raw total energies = 0.634 eV/atom
symmetry = No. 139



(6)
First-principles (PBEsol) data for crystalline Te2IrOs at its relaxed geometry, as listed in the Alexandria database.

```
4
Lattice="4.461 0.000 0.000 -2.231 4.258 -0.002 0.000 -2.335 3.801" Properties=species:S:1:pos:R:3 pbc="T T T"
Te 2.231 1.545 0.949
Os 0.000 0.000 0.000
Ir 2.231 -1.168 1.901
Te 0.000 0.378 2.850
```

Computed properties:
total DFT energy (no corrections) = -26.18 eV per cell
formation energy from raw total energies = 0.728 eV/atom
symmetry = No. 139
E above lowest polymorph = 261 meV per atom



(7)
First-principles (PBEsol) data for crystalline TeIr2Os at its relaxed geometry, as listed in the Alexandria database.

```
4
Lattice="2.803 0.000 0.000 0.000 4.535 0.000 -1.401 -2.268 5.276" Properties=species:S:1:pos:R:3 pbc="T T T"
Te 0.000 2.268 2.231
Ir 1.401 0.000 2.892
Ir 0.000 0.000 0.374
Os 0.000 0.000 5.056
```

Computed properties:
total DFT energy (no corrections) = -32.71 eV per cell
formation energy from raw total energies = 0.670 eV/atom
symmetry = No. 44



(8)
First-principles (PBEsol) data for crystalline TeIrOs2 at its relaxed geometry, as listed in the Alexandria database.

```
4
Lattice="-0.111 -2.682 -0.980 1.709 -1.205 3.104 -5.299 -0.742 2.629" Properties=species:S:1:pos:R:3 pbc="T T T"
Os -1.482 -0.208 0.735
Ir -1.850 -2.315 2.376
Os -3.817 -0.535 1.894
Te 0.799 -1.943 1.062
```

Computed properties:
total DFT energy (no corrections) = -34.89 eV per cell
formation energy from raw total energies = 0.722 eV/atom
symmetry = No. 47



(9)
First-principles (PBEsol) data for crystalline TeIrOs2 at its relaxed geometry, as listed in the Alexandria database.

```
4
Lattice="2.889 0.000 0.000 -0.095 4.557 0.000 -1.397 -2.278 4.882" Properties=species:S:1:pos:R:3 pbc="T T T"
Os 0.699 1.139 2.441
Te -0.047 2.278 0.000
Os -0.699 -1.139 2.441
Ir 1.445 0.000 0.000
```

Computed properties:
total DFT energy (no corrections) = -34.12 eV per cell
formation energy from raw total energies = 0.915 eV/atom
symmetry = No. 12



(10)
First-principles (PBEsol) data for crystalline TeIr2Os at its relaxed geometry, as listed in the Alexandria database.

```
4
Lattice="-2.709 -0.694 -0.036 1.647 -0.905 2.117 -2.080 7.864 4.979" Properties=species:S:1:pos:R:3 pbc="T T T"
Ir -1.525 5.767 3.651
Os -2.395 3.585 2.471
Te -1.355 -0.347 -0.018
Ir -0.555 2.097 1.328
```

Computed properties:
total DFT energy (no corrections) = -32.08 eV per cell
formation energy from raw total energies = 0.826 eV/atom
symmetry = No. 65



(11)
First-principles (PBEsol) data for crystalline TeIrOs2 at its relaxed geometry, as listed in the Alexandria database.

```
4
Lattice="-2.440 0.729 -3.199 3.855 -2.530 -0.905 -3.041 -1.997 1.865" Properties=species:S:1:pos:R:3 pbc="T T T"
Os -0.964 -2.581 0.147
Os -0.663 -1.217 -2.385
Ir 0.000 0.000 0.000
Te -2.741 -0.634 -0.667
```

Computed properties:
total DFT energy (no corrections) = -34.85 eV per cell
formation energy from raw total energies = 0.733 eV/atom
symmetry = No. 139



(12)
First-principles (PBEsol) data for crystalline TlIrOs2 at its relaxed geometry, as listed in the Alexandria database.

```
4
Lattice="-1.781 4.102 -0.213 -2.296 1.627 3.482 1.722 3.319 2.463" Properties=species:S:1:pos:R:3 pbc="T T T"
Os 0.000 0.000 0.000
Os -0.589 2.262 1.433
Ir -1.177 4.524 2.866
Tl -1.766 6.786 4.299
```

Computed properties:
total DFT energy (no corrections) = -32.68 eV per cell
energy of formation from the pure elements = 101.4 kJ/mol of atoms
symmetry = No. 216
E above lowest polymorph = 225 meV per atom



(13)
First-principles (PBEsol) data for crystalline TlIrOs2 at its relaxed geometry, as listed in the Alexandria database.

```
4
Lattice="-0.541 3.760 -0.952 -3.459 -0.033 1.835 1.827 1.140 3.465" Properties=species:S:1:pos:R:3 pbc="T T T"
Os -0.270 1.880 -0.476
Ir 0.914 0.570 1.733
Tl -1.086 2.433 2.174
Os -1.730 -0.017 0.917
```

Computed properties:
total DFT energy (no corrections) = -33.07 eV per cell
energy of formation from the pure elements = 92.0 kJ/mol of atoms
symmetry = No. 123
E above lowest polymorph = 128 meV per atom



(14)
First-principles (PBEsol) data for crystalline TlIrOs2 at its relaxed geometry, as listed in the Alexandria database.

```
4
Lattice="2.772 0.000 0.000 0.000 4.318 0.000 -1.386 -2.159 5.700" Properties=species:S:1:pos:R:3 pbc="T T T"
Os 1.386 0.000 2.505
Tl 0.000 0.000 5.200
Os 0.000 0.000 0.435
Ir 0.000 2.159 3.260
```

Computed properties:
total DFT energy (no corrections) = -33.58 eV per cell
energy of formation from the pure elements = 79.7 kJ/mol of atoms
symmetry = No. 44
E above lowest polymorph = 0 meV per atom



(15)
First-principles (PBEsol) data for crystalline Ir2OsW at its relaxed geometry, as listed in the Alexandria database.

```
4
Lattice="-1.476 2.305 0.100 -3.441 -2.266 1.453 1.431 0.721 4.513" Properties=species:S:1:pos:R:3 pbc="T T T"
W -2.152 0.174 1.743
Ir 0.053 0.027 0.167
Os 0.042 1.545 2.510
Ir -0.714 -0.626 3.902
```

Computed properties:
total DFT energy (no corrections) = -46.62 eV per cell
energy of formation from the pure elements = -23.0 kJ/mol of atoms
symmetry = No. 25
E above lowest polymorph = 0 meV per atom



(16)
First-principles (PBEsol) data for crystalline IrOsW at its relaxed geometry, as listed in the Alexandria database.

```
3
Lattice="-2.401 -0.142 -1.273 -0.007 -4.322 0.496 -1.770 2.543 3.054" Properties=species:S:1:pos:R:3 pbc="T T T"
Os -0.595 -2.034 1.349
W -1.183 0.255 2.201
Ir -1.200 -0.071 -0.637
```

Computed properties:
total DFT energy (no corrections) = -35.32 eV per cell
energy of formation from the pure elements = 16.8 kJ/mol of atoms
symmetry = No. 187